{
  "formula": "SrMgTa2",
  "functional": "PBEsol",
  "state": "relaxed",
  "lattice_angstrom": [[2.958, 0.000, 0.000], [0.000, 5.334, 0.000], [-1.084, 0.000, 5.600]],
  "species": ["Sr", "Mg", "Ta", "Ta"],
  "fractional_positions": [[0.000, 0.000, 0.000], [0.500, 0.000, 0.500], [0.325, 0.500, 0.714], [0.675, 0.500, 0.286]],
  "e_form_ev_per_atom": 0.783,
  "energy_ev_per_atom": -6.382,
  "vol_a3_per_cell": 88,
  "dos_ef_per_ev_atom": 0.991
}



{
  "formula": "CoHF2",
  "functional": "PBEsol",
  "state": "relaxed",
  "lattice_angstrom": [[-2.129, 2.129, 3.577], [2.129, -2.129, 3.577], [2.129, 2.129, -3.577]],
  "species": ["Co", "Co", "H", "H", "F", "F", "F", "F"],
  "fractional_positions": [[0.000, 0.000, 0.000], [0.750, 0.250, 0.500], [0.250, 0.750, 0.500], [0.500, 0.500, 0.000], [0.239, 0.125, 0.614], [0.375, 0.761, 0.886], [0.511, 0.625, 0.386], [0.875, 0.489, 0.114]],
  "energy_ev_per_atom": -4.341,
  "vol_a3_per_cell": 65,
  "dos_ef_per_ev_atom": 0.966
}



{
  "formula": "NaSr3Hg",
  "functional": "PBEsol",
  "state": "relaxed",
  "lattice_angstrom": [[6.236, 0.000, 0.000], [0.000, 6.236, 0.000], [0.000, 0.000, 6.236]],
  "species": ["Na", "Sr", "Sr", "Sr", "Hg"],
  "fractional_positions": [[0.000, 0.000, 0.000], [0.000, 0.500, 0.500], [0.500, 0.000, 0.500], [0.500, 0.500, 0.000], [0.500, 0.500, 0.500]],
  "e_form_ev_per_atom": -0.147,
  "energy_ev_per_atom": -1.644,
  "vol_a3_per_cell": 243,
  "dos_ef_per_ev_atom": 0.732
}



{
  "formula": "MgInHg2",
  "functional": "PBEsol",
  "state": "relaxed",
  "lattice_angstrom": [[4.755, 0.000, 0.000], [0.000, 4.755, 0.000], [0.000, 0.000, 3.952]],
  "species": ["Mg", "In", "Hg", "Hg"],
  "fractional_positions": [[0.000, 0.000, 0.000], [0.500, 0.500, 0.000], [0.000, 0.500, 0.500], [0.500, 0.000, 0.500]],
  "e_form_ev_per_atom": -0.141,
  "energy_ev_per_atom": -1.600,
  "vol_a3_per_cell": 89,
  "dos_ef_per_ev_atom": 0.362
}